ScCr2Cl after structural relaxation, computed with GGA-PBE.

Properties
space-group type	R3m (160)
ρ	4.40	Mg/m³
formation energy (no corrections)	-75	meV per atom

```
ScCr2Cl
1.0
-5.483 -3.233 -5.269
-2.790 -4.445 -6.382
-4.276 -5.847 -3.976
Sc Cl Cr
1 1 2
Cartesian
-6.273 -6.762 -7.813 Sc
-9.480 -10.219 -11.807 Cl
-3.222 -3.473 -4.013 Cr
-12.394 -13.359 -15.436 Cr
```